(1)
CdFePb2: relaxed, PBE.

## Properties
The total magnetization is 2.42 μB per cell. For the density of states at the Fermi level, the calculation gives 4.05 states/eV per cell. Its formation energy from the elements is 0.370 eV per atom.

a = 3.177 Å, b = 3.441 Å, c = 9.108 Å
α = 90.00°, β = 97.12°, γ = 90.00°
Positions (direct):
Cd 0.000 0.000 0.000
Fe 0.500 0.000 0.500
Pb 0.083 0.500 0.697
Pb 0.917 0.500 0.303

***

(2)
Mg2AlSnOs: relaxed, PBE.

## Properties
The total magnetization is 0.00 μB per cell. For the density of states at the Fermi level, the calculation gives 3.17 states/eV per cell. Its formation energy from the elements is 0.692 eV per atom.

a = 4.995 Å, b = 4.995 Å, c = 4.554 Å
α = 90.00°, β = 90.00°, γ = 90.00°
Positions (direct):
Mg 0.000 0.500 0.000
Mg 0.500 0.000 0.000
Al 0.000 0.000 0.000
Sn 0.500 0.500 0.500
Os 0.000 0.000 0.500